# 1
Compound: AcNdPCl
Source: Alexandria
Functional: PBE-GGA
Structure: optimized geometry

Lattice parameters (Å, degrees): 4.1518 4.1518 22.8483 90.00 90.00 120.00
Space group R3m (No. 160, hexagonal axes)
Unique sites:
Ac 0.0000 0.0000 0.0000 (multiplicity 3)
Nd 0.0000 0.0000 0.8094 (multiplicity 3)
P 0.0000 0.0000 0.4116 (multiplicity 3)
Cl 0.0000 0.0000 0.2318 (multiplicity 3)

# 2
Compound: AcNdPtCl
Source: Alexandria
Functional: PBE-GGA
Structure: optimized geometry

Lattice parameters (Å, degrees): 4.2650 4.2650 23.5627 90.00 90.00 120.00
Space group R3m (No. 160, hexagonal axes)
Unique sites:
Ac 0.0000 0.0000 0.0000 (multiplicity 3)
Nd 0.0000 0.0000 0.1958 (multiplicity 3)
Pt 0.0000 0.0000 0.5938 (multiplicity 3)
Cl 0.0000 0.0000 0.7707 (multiplicity 3)

# 3
Compound: AcNdRhCl
Source: Alexandria
Functional: PBE-GGA
Structure: optimized geometry

Lattice parameters (Å, degrees): 4.1831 4.1831 23.7965 90.00 90.00 120.00
Space group R3m (No. 160, hexagonal axes)
Unique sites:
Ac 0.0000 0.0000 0.0000 (multiplicity 3)
Nd 0.0000 0.0000 0.8002 (multiplicity 3)
Rh 0.0000 0.0000 0.4025 (multiplicity 3)
Cl 0.0000 0.0000 0.2234 (multiplicity 3)

| no. | E_form (uncorrected) (kJ/mol of formula units) |
| --- | --- |
| 1 | -598.5 |
| 2 | -522.7 |
| 3 | -461.1 |